No. 1
Computed, not measured: a relaxed structure of ZrTi2AuS at the PBEsol level of DFT.

Properties
Energy relative to the elements, uncorrected, eV per atom: 0.794

Cell and atoms, written as POSCAR:
```
ZrTi2AuS
1.0
4.8190 0.0000 0.0000
0.0000 4.8190 0.0000
0.0000 0.0000 4.6659
Zr Ti Au S
1 2 1 1
direct
0.0000 0.0000 0.0000
0.0000 0.5000 0.0000
0.5000 0.0000 0.0000
0.5000 0.5000 0.5000
0.0000 0.0000 0.5000
```

No. 2
Computed, not measured: a relaxed structure of ZrTlAu2S at the PBEsol level of DFT.

Properties
Energy relative to the elements, uncorrected, eV per atom: 1.040

Cell and atoms, written as POSCAR:
```
ZrTlAu2S
1.0
4.9712 0.0000 0.0000
0.0000 4.9712 0.0000
0.0000 0.0000 5.4885
Zr Tl Au S
1 1 2 1
direct
0.0000 0.0000 0.0000
0.0000 0.0000 0.5000
0.0000 0.5000 0.5000
0.5000 0.0000 0.5000
0.5000 0.5000 0.0000
```

No. 3
Computed, not measured: a relaxed structure of VAuS2 at the PBEsol level of DFT.

Properties
Energy relative to the elements, uncorrected, eV per atom: -0.793

Cell and atoms, written as POSCAR:
```
VAuS2
1.0
3.1460 0.0000 0.0000
-1.5730 2.7245 0.0000
0.0000 0.0000 15.0114
V Au S
2 2 4
direct
0.3333 0.6667 0.2500
0.6667 0.3333 0.7500
0.0000 0.0000 0.0000
0.0000 0.0000 0.5000
0.0000 0.0000 0.1548
0.0000 0.0000 0.3452
0.0000 0.0000 0.6548
0.0000 0.0000 0.8452
```

No. 4
Computed, not measured: a relaxed structure of YAuS2 at the PBEsol level of DFT.

Properties
Energy relative to the elements, uncorrected, eV per atom: -0.970

Cell and atoms, written as POSCAR:
```
YAuS2
1.0
0.0000 3.3156 3.3156
3.3156 0.0000 3.3156
3.3156 3.3156 0.0000
Y Au S
1 1 2
direct
0.0000 0.0000 0.0000
0.5000 0.5000 0.5000
0.2500 0.2500 0.2500
0.7500 0.7500 0.7500
```